DFT (PBE) results for an optimized crystal structure of UNiH8Pd2.

Unit cell a=4.846 b=4.846 c=5.955 alpha=90.00 beta=90.00 gamma=120.00
Site moments in Bohr magnetons follow the coordinates.
Sites, in units of the cell vectors:
U (0.000, 0.000, 0.500)  1.94
Ni (0.000, 0.000, 0.000)  0.12
H (0.851, 0.149, 0.163)  -0.01
H (0.851, 0.703, 0.163)  -0.01
H (0.297, 0.149, 0.163)  -0.01
H (0.703, 0.851, 0.837)  -0.01
H (0.333, 0.667, 0.394)  -0.01
H (0.667, 0.333, 0.606)  -0.01
H (0.149, 0.851, 0.837)  -0.01
H (0.149, 0.297, 0.837)  -0.01
Pd (0.667, 0.333, 0.329)  -0.07
Pd (0.333, 0.667, 0.671)  -0.07

Summary:
- Fermi-level density of states (states/eV/atom) = 0.70
- electronic total energy (eV/atom) = -4.494

***

DFT (PBE) results for an optimized crystal structure of Al2CdSe.

Unit cell a=3.726 b=2.779 c=7.924 alpha=89.99 beta=90.00 gamma=90.00
Sites, in units of the cell vectors:
Al (0.000, 0.750, 0.999)
Al (0.000, 0.750, 0.501)
Se (0.500, 0.750, 0.750)
Cd (0.500, 0.250, 0.250)

Summary:
- Fermi-level density of states (states/eV/atom) = 0.27
- energy above the lowest structure with this stoichiometry (eV per formula unit) = 0.45
- formation energy (no corrections) (eV per formula unit) = -0.07

***

DFT (PBE) results for an optimized crystal structure of CoIr4Rh.

Unit cell a=5.111 b=5.111 c=5.111 alpha=60.00 beta=60.00 gamma=60.00
Site moments in Bohr magnetons follow the coordinates.
Sites, in units of the cell vectors:
Co (0.000, 0.000, 0.000)  2.14
Ir (0.625, 0.625, 0.125)  0.35
Ir (0.625, 0.125, 0.625)  0.35
Ir (0.625, 0.625, 0.625)  0.35
Ir (0.125, 0.625, 0.625)  0.35
Rh (0.250, 0.250, 0.250)  0.48

Summary:
- Fermi-level density of states (states/eV/atom) = 2.08
- energy above the lowest structure with this stoichiometry (eV per formula unit) = 3.82
- energy of formation from the pure elements (eV/f.u.) = 3.90

***

Look up the Fermi-level density of states of the third one.
2.08 states/eV/atom

***

What is the formula in the first record?
UNiH8Pd2